# ZrCuHg2 (GGA-PBE, relaxed)
data_ZrCuHg2
_cell_length_a 3.3719
_cell_length_b 3.3719
_cell_length_c 25.8937
_cell_angle_alpha 90.00
_cell_angle_beta 90.00
_cell_angle_gamma 120.00
_symmetry_space_group_name_H-M 'R 3 m'
_symmetry_Int_Tables_number 160
_symmetry_space_group_name_Hall 'R 3 -2"'
loop_
_atom_site_label
_atom_site_fract_x
_atom_site_fract_y
_atom_site_fract_z
_atom_site_occupancy
Zr1 0.0000 0.0000 0.0000 1
Cu1 0.0000 0.0000 0.2589 1
Hg1 0.0000 0.0000 0.5179 1
Hg2 0.0000 0.0000 0.7587 1
# - E_form: 44 kJ/mol of formula units
# - Energy above the most stable polymorph in this dataset: 192 meV per atom
# - Crystal system: trigonal
# - Magnetization: 0.00 μB/atom
# - Total DFT energy (no corrections): -3.199 eV per atom

# ZrCuHg3 (GGA-PBE, relaxed)
data_ZrCuHg3
_cell_length_a 4.864
_cell_length_b 4.864
_cell_length_c 4.864
_cell_angle_alpha 90.00
_cell_angle_beta 90.00
_cell_angle_gamma 90.00
_symmetry_space_group_name_H-M 'P m -3 m'
_symmetry_Int_Tables_number 221
_symmetry_space_group_name_Hall '-P 4 2 3'
loop_
_atom_site_label
_atom_site_fract_x
_atom_site_fract_y
_atom_site_fract_z
_atom_site_occupancy
Zr1 0.000 0.000 0.000 1
Cu1 0.500 0.500 0.500 1
Hg1 0.000 0.500 0.500 1
# - E_form: 212 kJ/mol of formula units
# - Energy above the most stable polymorph in this dataset: 0 meV per atom
# - Crystal system: cubic
# - Magnetization: 0.00 μB/atom
# - Total DFT energy (no corrections): -2.271 eV per atom

# ZrCuHg2 (GGA-PBE, relaxed)
data_ZrCuHg2
_cell_length_a 4.475
_cell_length_b 4.475
_cell_length_c 15.512
_cell_angle_alpha 90.00
_cell_angle_beta 90.00
_cell_angle_gamma 90.00
_symmetry_space_group_name_H-M 'I 4/m m m'
_symmetry_Int_Tables_number 139
_symmetry_space_group_name_Hall '-I 4 2'
loop_
_atom_site_label
_atom_site_fract_x
_atom_site_fract_y
_atom_site_fract_z
_atom_site_occupancy
Zr1 0.000 0.000 0.142 1
Cu1 0.000 0.500 0.250 1
Hg1 0.000 0.000 0.351 1
Hg2 0.000 0.500 0.000 1
# - E_form: -30 kJ/mol of formula units
# - Energy above the most stable polymorph in this dataset: 0 meV per atom
# - Crystal system: tetragonal
# - Magnetization: 0.00 μB/atom
# - Total DFT energy (no corrections): -3.390 eV per atom

# Zr2CuHg2 (GGA-PBE, relaxed)
data_Zr2CuHg2
_cell_length_a 10.999
_cell_length_b 3.235
_cell_length_c 7.892
_cell_angle_alpha 90.00
_cell_angle_beta 134.12
_cell_angle_gamma 90.00
_symmetry_space_group_name_H-M 'C 1 2/m 1'
_symmetry_Int_Tables_number 12
_symmetry_space_group_name_Hall '-C 2y'
loop_
_atom_site_label
_atom_site_fract_x
_atom_site_fract_y
_atom_site_fract_z
_atom_site_occupancy
Zr1 0.088 0.000 0.381 1
Cu1 0.000 0.500 0.000 1
Hg1 0.231 0.500 0.815 1
# - E_form: -13 kJ/mol of formula units
# - Energy above the most stable polymorph in this dataset: 0 meV per atom
# - Crystal system: monoclinic
# - Magnetization: 0.00 μB/atom
# - Total DFT energy (no corrections): -4.385 eV per atom

# ZrCuHg3 (GGA-PBE, relaxed)
data_ZrCuHg3
_cell_length_a 5.609
_cell_length_b 5.609
_cell_length_c 5.609
_cell_angle_alpha 90.00
_cell_angle_beta 90.00
_cell_angle_gamma 90.00
_symmetry_space_group_name_H-M 'P m -3 m'
_symmetry_Int_Tables_number 221
_symmetry_space_group_name_Hall '-P 4 2 3'
loop_
_atom_site_label
_atom_site_fract_x
_atom_site_fract_y
_atom_site_fract_z
_atom_site_occupancy
Zr1 0.000 0.000 0.000 1
Cu1 0.500 0.500 0.500 1
Hg1 0.000 0.000 0.500 1
# - E_form: 453 kJ/mol of formula units
# - Energy above the most stable polymorph in this dataset: 500 meV per atom
# - Crystal system: cubic
# - Magnetization: 0.00 μB/atom
# - Total DFT energy (no corrections): -1.771 eV per atom

# ZrCuHg (GGA-PBE, relaxed)
data_ZrCuHg
_cell_length_a 3.3014
_cell_length_b 3.3014
_cell_length_c 6.3928
_cell_angle_alpha 90.00
_cell_angle_beta 90.00
_cell_angle_gamma 120.00
_symmetry_space_group_name_H-M 'P 3 m 1'
_symmetry_Int_Tables_number 156
_symmetry_space_group_name_Hall 'P 3 -2"'
loop_
_atom_site_label
_atom_site_fract_x
_atom_site_fract_y
_atom_site_fract_z
_atom_site_occupancy
Zr1 0.0000 0.0000 0.0000 1
Cu1 0.6667 0.3333 0.3079 1
Hg1 0.3333 0.6667 0.6206 1
# - E_form: 29 kJ/mol of formula units
# - Energy above the most stable polymorph in this dataset: 234 meV per atom
# - Crystal system: trigonal
# - Magnetization: 0.00 μB/atom
# - Total DFT energy (no corrections): -4.214 eV per atom